[1]
Compound: ZrPa2Te5
Source: Alexandria
Functional: PBE-GGA
Structure: relaxed

a b c (Å): 6.0179 7.3191 14.0810
angles (deg): 90.00 90.00 114.27
Last column: magnetic moment on the atom in μB.
Sites, in units of the cell vectors:
Zr1 0.7753 0.5505 0.7500  0.41
Zr2 0.2247 0.4495 0.2500  0.41
Pa1 0.8365 0.6729 0.4406  0.98
Pa2 0.8365 0.6729 0.0594  0.98
Pa3 0.1635 0.3271 0.5594  0.98
Pa4 0.1635 0.3271 0.9406  0.98
Te1 0.9494 0.8988 0.8741  -0.04
Te2 0.9494 0.8988 0.6259  -0.04
Te3 0.3528 0.7055 0.4256  -0.03
Te4 0.3528 0.7055 0.0744  -0.03
Te5 0.7227 0.4454 0.2500  -0.03
Te6 0.2773 0.5546 0.7500  -0.03
Te7 0.6472 0.2945 0.5744  -0.03
Te8 0.6472 0.2945 0.9256  -0.03
Te9 0.0506 0.1012 0.1259  -0.04
Te10 0.0506 0.1012 0.3741  -0.04

Output
- Size of the total moment: 5.720 μB per cell
- Formation energy (no corrections): -5.58 eV/f.u.
- Final energy: -97.66 eV/cell

[2]
Compound: Tl2ZnCu
Source: Alexandria
Functional: PBE-GGA
Structure: relaxed

a b c (Å): 3.8150 3.3396 7.2765
angles (deg): 73.33 90.00 90.00
Sites, in units of the cell vectors:
Cu1 0.5000 0.7500 0.7500
Tl1 0.0000 0.0092 0.9864
Tl2 0.0000 0.4908 0.5136
Zn1 0.5000 0.2500 0.2500

Output
- Size of the total moment: 0.000 μB per cell
- Relative energy among the computed polymorphs: 3.616 kcal/mol of atoms
- Final energy: -8.92 eV/cell

[3]
Compound: TaV2BiS
Source: Alexandria
Functional: PBE-GGA
Structure: relaxed

a b c (Å): 4.3960 4.3960 4.6301
angles (deg): 90.00 90.00 90.00
Sites, in units of the cell vectors:
S1 0.0000 0.0000 0.0000
V1 0.0000 0.5000 0.0000
V2 0.5000 0.0000 0.0000
Bi1 0.5000 0.5000 0.5000
Ta1 0.0000 0.0000 0.5000

Output
- Size of the total moment: 0.000 μB per cell
- Formation energy (no corrections): 1.12 eV/f.u.
- Final energy: -36.97 eV/cell

[4]
Compound: SiMoBr2
Source: Alexandria
Functional: PBE-GGA
Structure: relaxed

a b c (Å): 3.2511 5.7512 4.5292
angles (deg): 90.00 90.00 90.00
Last column: magnetic moment on the atom in μB.
Sites, in units of the cell vectors:
Br1 0.0000 0.0000 0.0000  -0.01
Br2 0.5000 0.5000 0.0000  0.04
Mo1 0.5000 0.0000 0.5000  2.53
Si1 0.0000 0.5000 0.5000  -0.06

Output
- Size of the total moment: 2.821 μB per cell
- Relative energy among the computed polymorphs: 18.201 kcal/mol of atoms
- Formation energy (no corrections): 3.10 eV/f.u.
- Final energy: -16.50 eV/cell

[5]
Compound: SrHoZn2Ga2
Source: Alexandria
Functional: PBE-GGA
Structure: relaxed

a b c (Å): 4.5094 4.5094 7.6978
angles (deg): 90.00 90.00 120.00
Sites, in units of the cell vectors:
Sr1 0.0000 0.0000 0.0000
Ho1 0.0000 0.0000 0.5000
Zn1 0.6667 0.3333 0.2990
Zn2 0.3333 0.6667 0.7010
Ga1 0.6667 0.3333 0.7048
Ga2 0.3333 0.6667 0.2952

Output
- Size of the total moment: 0.000 μB per cell
- Final energy: -17.82 eV/cell

[6]
Compound: Tm4BiPt
Source: Alexandria
Functional: PBE-GGA
Structure: relaxed

a b c (Å): 4.0171 8.2228 19.3188
angles (deg): 90.00 90.00 90.00
Last column: magnetic moment on the atom in μB.
Sites, in units of the cell vectors:
Tm1 0.7500 0.8695 0.6507  0.04
Tm2 0.2500 0.1305 0.3493  0.04
Tm3 0.2500 0.6305 0.1507  0.04
Tm4 0.7500 0.3695 0.8493  0.04
Tm5 0.7500 0.8557 0.4498  0.01
Tm6 0.2500 0.1443 0.5502  0.01
Tm7 0.2500 0.6443 0.9498  0.01
Tm8 0.7500 0.3557 0.0502  0.01
Tm9 0.7500 0.0223 0.9333  0.01
Tm10 0.2500 0.9777 0.0667  0.01
Tm11 0.2500 0.4777 0.4333  0.01
Tm12 0.7500 0.5223 0.5667  0.01
Tm13 0.7500 0.9489 0.2120  0.05
Tm14 0.2500 0.0511 0.7880  0.05
Tm15 0.2500 0.5511 0.7120  0.05
Tm16 0.7500 0.4489 0.2880  0.05
Bi1 0.7500 0.7481 0.8136  0.00
Bi2 0.2500 0.2519 0.1864  0.00
Bi3 0.2500 0.7519 0.3136  0.00
Bi4 0.7500 0.2481 0.6864  0.00
Pt1 0.7500 0.2240 0.4465  0.00
Pt2 0.2500 0.7760 0.5535  0.00
Pt3 0.2500 0.2760 0.9465  0.00
Pt4 0.7500 0.7240 0.0535  0.00

Output
- Size of the total moment: 0.651 μB per cell
- Relative energy among the computed polymorphs: 0.000 kcal/mol of atoms
- Final energy: -129.44 eV/cell

[7]
Compound: ScFe3Ru
Source: Alexandria
Functional: PBE-GGA
Structure: relaxed

a b c (Å): 4.5384 4.5384 4.5384
angles (deg): 90.00 90.00 90.00
Last column: magnetic moment on the atom in μB.
Sites, in units of the cell vectors:
Sc1 0.5000 0.5000 0.5000  -0.39
Ru1 0.0000 0.0000 0.0000  0.43
Fe1 0.0000 0.5000 0.0000  2.86
Fe2 0.0000 0.0000 0.5000  3.02
Fe3 0.5000 0.0000 0.0000  2.30

Output
- Size of the total moment: 8.068 μB per cell
- Relative energy among the computed polymorphs: 0.000 kcal/mol of atoms
- Final energy: -36.33 eV/cell

[8]
Compound: Y2TeSe2
Source: Alexandria
Functional: PBE-GGA
Structure: relaxed

a b c (Å): 4.6337 4.6337 7.7624
angles (deg): 72.63 72.63 90.00
Sites, in units of the cell vectors:
Y1 0.3602 0.3602 0.2795
Y2 0.6398 0.6398 0.7205
Te1 0.0000 0.0000 0.0000
Se1 0.7500 0.2500 0.5000
Se2 0.2500 0.7500 0.5000

Output
- Size of the total moment: 0.000 μB per cell
- Relative energy among the computed polymorphs: 9.295 kcal/mol of atoms
- Formation energy (no corrections): -6.66 eV/f.u.
- Final energy: -29.70 eV/cell